Here is a geometry-optimized CaTb2Ni structure from Alexandria. Energies are from PBE-GGA.

Lattice parameters (Å, degrees): 9.5086 9.5086 9.5086 24.08 24.08 24.08
Last column: nearest neighbours and their distance in Å.
Positions (direct):
Ca 0.0000 0.0000 0.0000  6 Tb 3.88-3.94, 6 Ca 3.97
Tb 0.2201 0.2201 0.2201  3 Ni 2.70
Tb 0.4493 0.4493 0.4493  3 Ni 2.71
Ni 0.8348 0.8348 0.8348  6 Tb 2.70-2.71

Computed properties:
Distance to the lowest polymorph of the same formula: 8.0 kJ/mol of formula units
Final energy: -4.3779 eV/atom
Space-group type: R3m
Calculated formation energy: -0.1170 eV/atom